# GGA-PBE AsW4Cl, optimized geometry
data_AsW4Cl
_chemical_formula_sum 'As4 W16 Cl4'
_cell_length_a 7.615
_cell_length_b 7.615
_cell_length_c 7.615
_cell_angle_alpha 90.00
_cell_angle_beta 90.00
_cell_angle_gamma 90.00
_symmetry_space_group_name_H-M 'F -4 3 m'
_symmetry_Int_Tables_number 216
_symmetry_space_group_name_Hall 'F -4 2 3'
loop_
_atom_site_label
_atom_site_type_symbol
_atom_site_fract_x
_atom_site_fract_y
_atom_site_fract_z
As1 As 0.000 0.000 0.000
W1 W 0.123 0.123 0.377
Cl1 Cl 0.250 0.250 0.750
# Theoretical density, g/cm3: 12.72
# Raw formation energy, eV/atom: 1.2449
# Crystal system: cubic
# Magnetization, μB/f.u.: 0.0

# GGA-PBE Er6BiSe4, optimized geometry
data_Er6BiSe4
_chemical_formula_sum 'Er24 Bi4 Se16'
_cell_length_a 4.047
_cell_length_b 13.159
_cell_length_c 20.795
_cell_angle_alpha 90.00
_cell_angle_beta 90.00
_cell_angle_gamma 90.00
_symmetry_space_group_name_H-M 'C m c m'
_symmetry_Int_Tables_number 63
_symmetry_space_group_name_Hall '-C 2c 2'
loop_
_atom_site_label
_atom_site_type_symbol
_atom_site_fract_x
_atom_site_fract_y
_atom_site_fract_z
Er1 Er 0.000 0.000 0.000
Er2 Er 0.000 0.144 0.250
Er3 Er 0.000 0.270 0.594
Er4 Er 0.000 0.448 0.163
Bi1 Bi 0.000 0.176 0.750
Se1 Se 0.000 0.085 0.122
Se2 Se 0.000 0.357 0.036
# Theoretical density, g/cm3: 9.17
# Raw formation energy, eV/atom: -1.3780
# Crystal system: orthorhombic
# Magnetization, μB/f.u.: 0.0

# GGA-PBE La8HN3Cl4, optimized geometry
data_La8HN3Cl4
_chemical_formula_sum 'La16 H2 N6 Cl8'
_cell_length_a 13.059
_cell_length_b 7.530
_cell_length_c 8.454
_cell_angle_alpha 90.00
_cell_angle_beta 121.08
_cell_angle_gamma 90.00
_symmetry_space_group_name_H-M 'C 1 2/m 1'
_symmetry_Int_Tables_number 12
loop_
_symmetry_equiv_pos_as_xyz
'x,y,z'
'-x,-y,-z'
'-x,y,-z'
'x,-y,z'
'x+1/2,y+1/2,z'
'-x+1/2,-y+1/2,-z'
'-x+1/2,y+1/2,-z'
'x+1/2,-y+1/2,z'
loop_
_atom_site_label
_atom_site_type_symbol
_atom_site_fract_x
_atom_site_fract_y
_atom_site_fract_z
La1 La 0.023 0.236 0.306
La2 La 0.231 0.000 0.693
La3 La 0.240 0.500 0.694
H1 H 0.000 0.500 0.500
N1 N 0.000 0.000 0.500
N2 N 0.250 0.250 0.500
Cl1 Cl 0.000 0.000 0.000
Cl2 Cl 0.000 0.500 0.000
Cl3 Cl 0.250 0.250 0.000
# Theoretical density, g/cm3: 6.05
# Crystal system: monoclinic
# Magnetization, μB/f.u.: 0.0
# DFT total energy, eV/cell: -195.957

# GGA-PBE Sm8TlIn5, optimized geometry
data_Sm8TlIn5
_chemical_formula_sum 'Sm16 Tl2 In10'
_cell_length_a 9.494
_cell_length_b 9.494
_cell_length_c 9.507
_cell_angle_alpha 90.00
_cell_angle_beta 90.00
_cell_angle_gamma 90.00
_symmetry_space_group_name_H-M 'I -4'
_symmetry_Int_Tables_number 82
loop_
_symmetry_equiv_pos_as_xyz
'x,y,z'
'y,-x,-z'
'-x,-y,z'
'-y,x,-z'
'x+1/2,y+1/2,z+1/2'
'y+1/2,-x+1/2,-z+1/2'
'-x+1/2,-y+1/2,z+1/2'
'-y+1/2,x+1/2,-z+1/2'
loop_
_atom_site_label
_atom_site_type_symbol
_atom_site_fract_x
_atom_site_fract_y
_atom_site_fract_z
Sm1 Sm 0.075 0.176 0.199
Sm2 Sm 0.075 0.325 0.550
Tl1 Tl 0.000 0.000 0.500
In1 In 0.000 0.500 0.250
In2 In 0.125 0.251 0.875
# Theoretical density, g/cm3: 7.68
# Crystal system: tetragonal
# Magnetization, μB/f.u.: 0.0
# DFT total energy, eV/cell: -116.721

# GGA-PBE NbVSb2I, optimized geometry
data_NbVSb2I
_chemical_formula_sum 'Nb1 V1 Sb2 I1'
_cell_length_a 5.312
_cell_length_b 5.312
_cell_length_c 5.765
_cell_angle_alpha 90.00
_cell_angle_beta 90.00
_cell_angle_gamma 90.00
_symmetry_space_group_name_H-M 'P 4/m m m'
_symmetry_Int_Tables_number 123
_symmetry_space_group_name_Hall '-P 4 2'
loop_
_atom_site_label
_atom_site_type_symbol
_atom_site_fract_x
_atom_site_fract_y
_atom_site_fract_z
Nb1 Nb 0.000 0.000 0.000
V1 V 0.500 0.500 0.500
Sb1 Sb 0.000 0.500 0.000
I1 I 0.000 0.000 0.500
# E above lowest polymorph, eV/f.u.: 0.00
# Theoretical density, g/cm3: 5.25
# Raw formation energy, eV/atom: 0.8670
# Crystal system: tetragonal
# Magnetization, μB/f.u.: 4.2

# GGA-PBE KWCl, optimized geometry
data_KWCl
_chemical_formula_sum 'K4 W4 Cl4'
_cell_length_a 7.423
_cell_length_b 7.423
_cell_length_c 7.423
_cell_angle_alpha 90.00
_cell_angle_beta 90.00
_cell_angle_gamma 90.00
_symmetry_space_group_name_H-M 'F -4 3 m'
_symmetry_Int_Tables_number 216
_symmetry_space_group_name_Hall 'F -4 2 3'
loop_
_atom_site_label
_atom_site_type_symbol
_atom_site_fract_x
_atom_site_fract_y
_atom_site_fract_z
K1 K 0.000 0.000 0.000
W1 W 0.000 0.000 0.500
Cl1 Cl 0.250 0.250 0.250
# E above lowest polymorph, eV/f.u.: 2.11
# Theoretical density, g/cm3: 4.20
# Raw formation energy, eV/atom: 1.3678
# Crystal system: cubic
# Magnetization, μB/f.u.: 5.8

# GGA-PBE Sc2S2Br, optimized geometry
data_Sc2S2Br
_chemical_formula_sum 'Sc4 S4 Br2'
_cell_length_a 3.845
_cell_length_b 5.077
_cell_length_c 11.787
_cell_angle_alpha 90.00
_cell_angle_beta 90.00
_cell_angle_gamma 90.00
_symmetry_space_group_name_H-M 'I m m m'
_symmetry_Int_Tables_number 71
_symmetry_space_group_name_Hall '-I 2 2'
loop_
_atom_site_label
_atom_site_type_symbol
_atom_site_fract_x
_atom_site_fract_y
_atom_site_fract_z
Sc1 Sc 0.000 0.000 0.186
S1 S 0.000 0.500 0.174
Br1 Br 0.000 0.500 0.500
# E above lowest polymorph, eV/f.u.: 0.29
# Theoretical density, g/cm3: 3.38
# Raw formation energy, eV/atom: -1.7729
# Crystal system: orthorhombic
# Magnetization, μB/f.u.: 0.0

# GGA-PBE AcCeGaGe, optimized geometry
data_AcCeGaGe
_chemical_formula_sum 'Ac4 Ce4 Ga4 Ge4'
_cell_length_a 7.574
_cell_length_b 7.574
_cell_length_c 7.574
_cell_angle_alpha 90.00
_cell_angle_beta 90.00
_cell_angle_gamma 90.00
_symmetry_space_group_name_H-M 'F -4 3 m'
_symmetry_Int_Tables_number 216
_symmetry_space_group_name_Hall 'F -4 2 3'
loop_
_atom_site_label
_atom_site_type_symbol
_atom_site_fract_x
_atom_site_fract_y
_atom_site_fract_z
Ac1 Ac 0.000 0.000 0.000
Ce1 Ce 0.000 0.000 0.500
Ga1 Ga 0.250 0.250 0.250
Ge1 Ge 0.250 0.250 0.750
# Theoretical density, g/cm3: 7.79
# Crystal system: cubic
# Magnetization, μB/f.u.: 1.1
# DFT total energy, eV/cell: -78.002